# 1
PBE Rb3Tl2In4, relaxed; DOS(E_F) = 0.45 states/eV per atom; symmetry = P3m1 (156); offset from the most stable computed form = 1.1 kJ/mol of atoms; ΔE_f = -0.0437 eV/atom; total DFT energy (no corrections) = -2.1091 eV per atom; crystal system = trigonal
1.0
5.226 0.000 0.000
-2.613 4.526 0.000
0.000 0.000 30.765
Rb Tl In
6 4 8
Direct
0.333 0.667 0.253
0.333 0.667 0.584
0.333 0.667 0.916
0.333 0.667 0.081
0.333 0.667 0.417
0.333 0.667 0.748
0.000 0.000 0.167
0.000 0.000 0.501
0.000 0.000 0.832
0.667 0.333 0.167
0.667 0.333 0.500
0.667 0.333 0.832
0.667 0.333 0.999
0.667 0.333 0.335
0.667 0.333 0.666
0.000 0.000 0.335
0.000 0.000 0.666
0.000 0.000 0.999


# 2
PBE CaSm3Ir, relaxed; DOS(E_F) = 1.22 states/eV per atom; symmetry = P2_1/c (14); offset from the most stable computed form = 0.3 kJ/mol of atoms; ΔE_f = -0.2690 eV/atom; total DFT energy (no corrections) = -5.2730 eV per atom; crystal system = monoclinic
1.0
7.571 0.000 0.000
0.000 8.083 -0.071
0.000 -2.760 10.064
Ca Sm Ir
4 12 4
Direct
0.955 0.700 0.252
0.045 0.300 0.748
0.455 0.300 0.248
0.545 0.700 0.752
0.127 0.090 0.396
0.873 0.910 0.604
0.627 0.910 0.104
0.373 0.090 0.896
0.493 0.793 0.378
0.507 0.207 0.622
0.993 0.207 0.122
0.007 0.793 0.878
0.205 0.579 0.528
0.795 0.421 0.472
0.705 0.421 0.972
0.295 0.579 0.028
0.260 0.940 0.605
0.740 0.060 0.395
0.760 0.060 0.895
0.240 0.940 0.105


# 3
PBE Cs2VHRh, relaxed; DOS(E_F) = 0.85 states/eV per atom; symmetry = P4/mmm (123); total DFT energy (no corrections) = -3.5164 eV per atom; crystal system = tetragonal
1.0
-0.930 6.545 1.170
-4.290 -0.853 1.363
2.165 -0.819 6.302
Cs H Rh V
2 1 1 1
Direct
0.000 0.000 0.500
0.500 0.000 0.000
0.500 0.500 0.500
0.000 0.000 0.000
0.000 0.500 0.000


Question: Among the records above, which one has the lowest DOS(E_F)?
Answer: Rb3Tl2In4


Question: Among the records above, which one has the highest total DFT energy (no corrections)?
Answer: Rb3Tl2In4